Entry 1:
The following is a GGA-PBE calculation of a relaxed K2TbZn2Se4 crystal, from Alexandria via LeMat-Bulk.

Structure (CIF):
```
data_K2TbZn2Se4
_cell_length_a 16.1594
_cell_length_b 4.0795
_cell_length_c 8.1551
_cell_angle_alpha 90.00
_cell_angle_beta 113.21
_cell_angle_gamma 90.00
_symmetry_space_group_name_H-M 'C 1 2/m 1'
_symmetry_Int_Tables_number 12
loop_
_symmetry_equiv_pos_as_xyz
'x,y,z'
'-x,-y,-z'
'-x,y,-z'
'x,-y,z'
'x+1/2,y+1/2,z'
'-x+1/2,-y+1/2,-z'
'-x+1/2,y+1/2,-z'
'x+1/2,-y+1/2,z'
loop_
_atom_site_label
_atom_site_type_symbol
_atom_site_fract_x
_atom_site_fract_y
_atom_site_fract_z
_atom_site_occupancy
K1 K 0.1279 0.0000 0.0603 1
Tb1 Tb 0.0000 0.0000 0.5000 1
Zn1 Zn 0.1865 0.5000 0.5117 1
Se1 Se 0.0304 0.5000 0.2761 1
Se2 Se 0.1930 0.0000 0.7085 1
```

size of the total moment = 0.0000 μB per atom
formation energy (no corrections) = -1.099 eV per atom

---

Entry 2:
The following is a GGA-PBE calculation of a relaxed Mg2POs crystal, from Alexandria via LeMat-Bulk.

Structure (CIF):
```
data_Mg2POs
_cell_length_a 3.9041
_cell_length_b 3.3682
_cell_length_c 10.1965
_cell_angle_alpha 90.00
_cell_angle_beta 90.00
_cell_angle_gamma 90.00
_symmetry_space_group_name_H-M 'A m m 2'
_symmetry_Int_Tables_number 38
loop_
_symmetry_equiv_pos_as_xyz
'x,y,z'
'-x,-y,z'
'-x,y,z'
'x,-y,z'
'x,y+1/2,z+1/2'
'-x,-y+1/2,z+1/2'
'-x,y+1/2,z+1/2'
'x,-y+1/2,z+1/2'
loop_
_atom_site_label
_atom_site_type_symbol
_atom_site_fract_x
_atom_site_fract_y
_atom_site_fract_z
_atom_site_occupancy
Mg1 Mg 0.0000 0.0000 0.0000 1
Mg2 Mg 0.5000 0.0000 0.3286 1
P1 P 0.0000 0.0000 0.7271 1
Os1 Os 0.5000 0.0000 0.6091 1
```

size of the total moment = 0.0000 μB per atom
energy of formation = -4.189 kcal/mol of atoms

---

Entry 3:
The following is a GGA-PBE calculation of a relaxed In2HgCl crystal, from Alexandria via LeMat-Bulk.

Structure (CIF):
```
data_In2HgCl
_cell_length_a 3.4951
_cell_length_b 5.2424
_cell_length_c 5.9996
_cell_angle_alpha 90.00
_cell_angle_beta 90.00
_cell_angle_gamma 90.00
_symmetry_space_group_name_H-M 'P m m m'
_symmetry_Int_Tables_number 47
loop_
_symmetry_equiv_pos_as_xyz
'x,y,z'
'-x,-y,-z'
'-x,-y,z'
'x,y,-z'
'x,-y,-z'
'-x,y,z'
'-x,y,-z'
'x,-y,z'
loop_
_atom_site_label
_atom_site_type_symbol
_atom_site_fract_x
_atom_site_fract_y
_atom_site_fract_z
_atom_site_occupancy
In1 In 0.0000 0.0000 0.0000 1
In2 In 0.5000 0.5000 0.5000 1
Hg1 Hg 0.0000 0.0000 0.5000 1
Cl1 Cl 0.5000 0.5000 0.0000 1
```

size of the total moment = 0.0000 μB per atom
formation energy (no corrections) = -0.349 eV per atom
energy above the lowest structure with this stoichiometry = 21.7 meV/atom

---

Entry 4:
The following is a GGA-PBE calculation of a relaxed Pm4ZnRu crystal, from Alexandria via LeMat-Bulk.

Structure (CIF):
```
data_Pm4ZnRu
_cell_length_a 7.1453
_cell_length_b 7.0766
_cell_length_c 7.0705
_cell_angle_alpha 90.00
_cell_angle_beta 98.70
_cell_angle_gamma 90.00
_symmetry_space_group_name_H-M 'C 1 2 1'
_symmetry_Int_Tables_number 5
loop_
_symmetry_equiv_pos_as_xyz
'x,y,z'
'-x,y,-z'
'x+1/2,y+1/2,z'
'-x+1/2,y+1/2,-z'
loop_
_atom_site_label
_atom_site_type_symbol
_atom_site_fract_x
_atom_site_fract_y
_atom_site_fract_z
_atom_site_occupancy
Pm1 Pm 0.2200 0.0000 0.2372 1
Pm2 Pm 0.2198 0.5078 0.2387 1
Zn1 Zn 0.0000 0.7537 0.5000 1
Ru1 Ru 0.0000 0.2543 0.0000 1
```

size of the total moment = 0.0000 μB per atom
energy of formation = -2.013 kcal/mol of atoms
energy above the lowest structure with this stoichiometry = 150.9 meV/atom